# 1
# PuSnHg | the Alexandria database | GGA-PBE | optimized geometry
data_PuSnHg
_space_group_name_H-M_alt 'C m c m'
_space_group_IT_number 63
_space_group_name_Hall '-C 2c 2'
_cell_length_a 4.808
_cell_length_b 14.340
_cell_length_c 4.495
_cell_angle_alpha 90.00
_cell_angle_beta 90.00
_cell_angle_gamma 90.00
loop_
_atom_site_label
_atom_site_fract_x
_atom_site_fract_y
_atom_site_fract_z
Pu1 0.000 0.090 0.250
Sn1 0.000 0.423 0.250
Hg1 0.000 0.256 0.750
# - Energy above the lowest structure with this stoichiometry: 0 meV/atom

---

# 2
# Pu2SnHg

A geometry-optimized Pu2SnHg structure (GGA-PBE, the Alexandria database).

Cell and atoms, written as CIF:
```
data_Pu2SnHg
_space_group_name_H-M_alt 'R -3 m'
_space_group_IT_number 166
_space_group_name_Hall '-R 3 2"'
_cell_length_a 3.3901
_cell_length_b 3.3901
_cell_length_c 32.0825
_cell_angle_alpha 90.00
_cell_angle_beta 90.00
_cell_angle_gamma 120.00
loop_
_atom_site_label
_atom_site_fract_x
_atom_site_fract_y
_atom_site_fract_z
Pu1 0.0000 0.0000 0.2504
Sn1 0.0000 0.0000 0.0000
Hg1 0.0000 0.0000 0.5000
```

---

# 3
# Pu5SnHg2

A geometry-optimized Pu5SnHg2 structure (GGA-PBE, the Alexandria database).

Cell and atoms, written as CIF:
```
data_Pu5SnHg2
_space_group_name_H-M_alt 'I 4/m m m'
_space_group_IT_number 139
_space_group_name_Hall '-I 4 2'
_cell_length_a 7.937
_cell_length_b 7.937
_cell_length_c 6.738
_cell_angle_alpha 90.00
_cell_angle_beta 90.00
_cell_angle_gamma 90.00
loop_
_atom_site_label
_atom_site_fract_x
_atom_site_fract_y
_atom_site_fract_z
Pu1 0.000 0.000 0.000
Pu2 0.250 0.250 0.250
Sn1 0.000 0.000 0.500
Hg1 0.000 0.500 0.000
```

---

| no. | formation enthalpy at 0 K (eV/atom) |
| --- | --- |
| 1 | -0.242 |
| 2 | -0.069 |
| 3 | -0.102 |